No. 1
Pr7Y4Sc | PBE-GGA | optimized geometry

Computed properties:
Formation energy from the elements: 207 meV per atom
DOS(E_F): 38.3 states/eV per cell
Theoretical density: 5542 kg/m³
V: 34.63 A^3/atom

Unit cell a=16.435 b=5.981 c=9.447 alpha=90.00 beta=116.50 gamma=90.00
Space group C2/m (No. 12)
Symmetry-distinct sites (fractional):
Pr1 0.000 0.000 0.000 x2
Pr2 0.079 0.500 0.432 x4
Pr3 0.201 0.500 0.215 x4
Pr4 0.208 0.500 0.873 x4
Y1 0.075 0.000 0.698 x4
Y2 0.175 0.000 0.399 x4
Sc1 0.000 0.500 0.000 x2

=====

No. 2
Pr12Y2Sc | PBE-GGA | optimized geometry

Computed properties:
Formation energy from the elements: 330 meV per atom
DOS(E_F): 37.9 states/eV per cell
Theoretical density: 5687 kg/m³
V: 37.25 A^3/atom

Unit cell a=6.646 b=6.646 c=25.296 alpha=90.00 beta=90.00 gamma=90.00
Space group P4/nbm (No. 125, origin choice 2)
Symmetry-distinct sites (fractional):
Pr1 0.064 0.564 0.107 x8
Pr2 0.082 0.582 0.436 x8
Pr3 0.250 0.250 0.210 x4
Pr4 0.250 0.250 0.334 x4
Y1 0.250 0.750 0.268 x4
Sc1 0.250 0.750 0.000 x2

=====

No. 3
Pr3Y4Sc | PBE-GGA | optimized geometry

Computed properties:
Formation energy from the elements: 32 meV per atom
DOS(E_F): 28.7 states/eV per cell
Theoretical density: 5176 kg/m³
V: 33.02 A^3/atom

Unit cell a=11.455 b=7.325 c=6.296 alpha=90.00 beta=90.00 gamma=90.00
Space group Pmn2_1 (No. 31)
Symmetry-distinct sites (fractional):
Pr1 0.000 0.125 0.000 x2
Pr2 0.250 0.122 0.329 x4
Y1 0.000 0.374 0.500 x2
Y2 0.000 0.624 0.995 x2
Y3 0.244 0.625 0.337 x4
Sc1 0.000 0.870 0.496 x2

=====

No. 4
PrY2Sc4 | PBE-GGA | optimized geometry

Computed properties:
Formation energy from the elements: 175 meV per atom
DOS(E_F): 24.6 states/eV per cell
Theoretical density: 4048 kg/m³
V: 29.22 A^3/atom

Unit cell a=3.624 b=21.351 c=5.287 alpha=90.00 beta=90.00 gamma=90.00
Space group Cmmm (No. 65)
Symmetry-distinct sites (fractional):
Pr1 0.000 0.000 0.000 x2
Y1 0.000 0.425 0.500 x4
Sc1 0.000 0.198 0.500 x4
Sc2 0.000 0.316 0.000 x4

=====

No. 5
Pr2Y3Sc2 | PBE-GGA | optimized geometry

Computed properties:
Formation energy from the elements: 33 meV per atom
DOS(E_F): 23.3 states/eV per cell
Theoretical density: 4817 kg/m³
V: 31.44 A^3/atom

Unit cell a=16.558 b=3.506 c=8.674 alpha=90.00 beta=119.06 gamma=90.00
Space group C2/m (No. 12)
Symmetry-distinct sites (fractional):
Pr1 0.135 0.000 0.318 x4
Y1 0.000 0.500 0.500 x2
Y2 0.204 0.000 0.800 x4
Sc1 0.070 0.500 0.927 x4

=====

No. 6
Pr7Y4Sc | PBE-GGA | optimized geometry

Computed properties:
Formation energy from the elements: 18 meV per atom
DOS(E_F): 15.9 states/eV per cell
Theoretical density: 5667 kg/m³
V: 33.87 A^3/atom

Unit cell a=6.297 b=7.332 c=9.046 alpha=90.00 beta=103.34 gamma=90.00
Space group P2/m (No. 10)
Symmetry-distinct sites (fractional):
Pr1 0.000 0.000 0.000 x1
Pr2 0.219 0.500 0.667 x2
Pr3 0.227 0.000 0.664 x2
Pr4 0.500 0.255 0.000 x2
Y1 0.275 0.254 0.330 x4
Sc1 0.000 0.500 0.000 x1